[1]
Computed, not measured: a relaxed structure of RbMg2In2 at the PBE-GGA level of DFT.

Output
Energy above the lowest structure with this stoichiometry (kcal/mol of atoms): 1.855
Crystal system: orthorhombic
DOS at the Fermi energy (states/eV per cell): 1.80
Raw total energy (Ry/atom): -0.1391

abc: 4.839 4.839 8.794
angles: 90.00 90.00 117.92
Atoms (fractional coordinates):
Rb: 0.000 0.000 0.000
Mg: 0.169 0.831 0.500
Mg: 0.831 0.169 0.500
In: 0.500 0.500 0.316
In: 0.500 0.500 0.684

[2]
Computed, not measured: a relaxed structure of ErZr5 at the PBE-GGA level of DFT.

Output
Crystal system: orthorhombic
DOS at the Fermi energy (states/eV per cell): 9.98
Raw total energy (Ry/atom): -0.5736

abc: 7.250 7.250 4.573
angles: 90.00 90.00 143.01
Atoms (fractional coordinates):
Er: 0.000 0.000 0.000
Zr: 0.170 0.830 0.500
Zr: 0.331 0.669 0.000
Zr: 0.500 0.500 0.500
Zr: 0.669 0.331 0.000
Zr: 0.830 0.170 0.500

[3]
Computed, not measured: a relaxed structure of Cu2Pt at the PBE-GGA level of DFT.

Output
Energy above the lowest structure with this stoichiometry (kcal/mol of atoms): 6.329
Crystal system: tetragonal
DOS at the Fermi energy (states/eV per cell): 4.96
Raw total energy (Ry/atom): -0.3392

abc: 4.891 4.891 4.891
angles: 107.84 107.84 112.78
Atoms (fractional coordinates):
Cu: 0.157 0.657 0.813
Cu: 0.343 0.157 0.500
Cu: 0.657 0.843 0.500
Cu: 0.843 0.343 0.187
Pt: 0.250 0.250 0.000
Pt: 0.750 0.750 0.000